Entry from Alexandria: a geometry-optimized Ba3CrF12 structure (GGA+U).

## Properties
For the total energy, the calculation gives -4.95 eV per atom. Its crystal system is monoclinic.

POSCAR file:
```
Ba3CrF12
1.0
4.5599 -6.5544 0.0000
4.5599 6.5544 0.0000
-0.5981 0.0000 6.6235
Ba Cr F
3 1 12
Cartesian
0.0000 0.0000 0.0000
1.9809 3.2772 3.3117
1.9809 -3.2772 3.3117
-0.2991 0.0000 3.3117
0.9561 1.1684 2.1661
0.7830 1.1806 4.5632
0.9561 -1.1684 2.1661
0.7830 -1.1806 4.5632
4.2626 2.2632 2.3041
4.2592 2.2632 4.3193
4.2626 -2.2632 2.3041
4.2592 -2.2632 4.3193
7.7388 1.1806 2.0602
7.5657 1.1684 4.4573
7.7388 -1.1806 2.0602
7.5657 -1.1684 4.4573
```